MoAsIO2: optimized geometry, PBE+U.

Lattice parameters (Å, degrees): 3.9394 3.9394 8.0735 90.00 90.00 90.00
With the nearest neighbours (Å) after each atom.
Fractional coordinates of all 5 atoms:
Mo  0.0000  0.0000  0.0000  4 O 1.97
As  0.5000  0.5000  0.5000  4 I 2.79
I  0.0000  0.0000  0.5000  4 As 2.79
O  0.0000  0.5000  0.0000  2 Mo 1.97
O  0.5000  0.0000  0.0000  2 Mo 1.97

For the density of states at the Fermi level, the calculation gives 2.88 states/eV/f.u. Its total energy is -5.037 eV/atom. As for the space group: P4/mmm, No. 123. For the magnetic moment, the calculation gives 0.350 μB/atom.